# 1
Entry from Alexandria via LeMat-Bulk: crystalline Y6Ho2Er at its relaxed geometry (GGA-PBE).

Lattice parameters (Å, degrees): 3.506 8.705 10.053 78.24 79.96 78.38
Positions (direct):
Y 0.951 0.348 0.749
Y 0.386 0.672 0.556
Y 0.614 0.328 0.444
Y 0.049 0.652 0.251
Y 0.771 0.347 0.111
Y 0.229 0.653 0.889
Ho 0.671 0.981 0.678
Ho 0.329 0.019 0.322
Er 0.000 0.000 0.000

Formation energy from the elements   0.99 eV/f.u.
ΔE to the lowest computed polymorph   0.043 eV per atom
Total energy   -51.51 eV per formula unit
M_tot   0.00 μB/f.u.



# 2
Entry from Alexandria via LeMat-Bulk: crystalline ScAgH at its relaxed geometry (GGA-PBE).

Lattice parameters (Å, degrees): 3.498 3.498 6.805 90.00 90.00 90.00
Positions (direct):
Sc 0.500 0.000 0.657
Sc 0.000 0.500 0.343
Ag 0.500 0.000 0.108
Ag 0.000 0.500 0.892
H 0.000 0.000 0.500
H 0.500 0.500 0.500

ΔE to the lowest computed polymorph   0.000 eV per atom
Total energy   -13.96 eV per formula unit
M_tot   0.00 μB/f.u.



# 3
Entry from Alexandria via LeMat-Bulk: crystalline AsN at its relaxed geometry (GGA-PBE).

Lattice parameters (Å, degrees): 9.893 3.626 3.626 59.90 84.71 95.19
Positions (direct):
N 0.868 0.419 0.079
N 0.768 0.458 0.219
As 0.246 0.237 0.518
As 0.389 0.641 0.779

ΔE to the lowest computed polymorph   0.000 eV per atom
Formation energy (no corrections)   8 meV per atom
Total energy   -12.96 eV per formula unit
M_tot   0.00 μB/f.u.